1.
{"formula": "CsAlAg2F6", "functional": "PBE", "state": "optimized geometry", "formation_energy_uncorrected_ev_per_atom": -2.39, "spacegroup": "R-3 (148)", "cell": [[6.146, 0.020, 0.014], [2.869, 5.436, 0.014], [2.869, 1.736, 5.151]], "species": ["Cs", "Al", "Ag", "Ag", "F", "F", "F", "F", "F", "F"], "frac_coords": [[0.500, 0.500, 0.500], [0.000, 0.000, 0.000], [0.224, 0.224, 0.224], [0.777, 0.777, 0.777], [0.328, 0.029, 0.861], [0.029, 0.861, 0.328], [0.971, 0.139, 0.673], [0.673, 0.971, 0.139], [0.861, 0.328, 0.029], [0.139, 0.673, 0.971]]}

2.
{"formula": "Cs2AlAgH6", "functional": "PBE", "state": "optimized geometry", "spacegroup": "Fmmm (69)", "energy_ev_per_cell": -29.6, "cell": [[-4.992, 3.165, -0.775], [-0.667, -1.979, 5.583], [4.983, 3.196, -0.804]], "species": ["Cs", "Cs", "Al", "Ag", "H", "H", "H", "H", "H", "H"], "frac_coords": [[0.750, 0.250, 0.500], [0.250, 0.750, 0.500], [0.000, 0.000, 0.000], [0.500, 0.500, 0.000], [0.735, 0.735, 0.000], [0.814, 0.814, 0.628], [0.265, 0.266, 0.000], [0.813, 0.187, 0.000], [0.186, 0.186, 0.372], [0.187, 0.814, 0.000]]}

3.
{"formula": "CsAlAgHg2", "functional": "PBE", "state": "optimized geometry", "formation_energy_mev_per_atom": -51, "spacegroup": "P4/mmm (123)", "cell": [[-4.852, 0.215, -2.491], [-0.534, -5.401, 0.574], [-2.384, 0.736, 4.707]], "species": ["Cs", "Hg", "Hg", "Ag", "Al"], "frac_coords": [[0.500, 0.500, 0.500], [0.000, 0.500, 0.000], [0.500, 0.000, 0.000], [0.000, 0.000, 0.500], [0.000, 0.000, 0.000]]}